Record 1
# BaSbTe2

An optimized crystal structure of BaSbTe2 (PBE-GGA, Alexandria via LeMat-Bulk).

Cell and atoms, written as extended XYZ:
```
12
Lattice="4.8966 0.0000 0.0000 -2.4483 4.2406 0.0000 0.0000 0.0000 22.9755" Properties=species:S:1:pos:R:3 pbc="T T T"
Ba 0.0000 0.0000 0.0000
Ba 0.0000 2.8271 15.3170
Ba 2.4483 1.4135 7.6585
Sb 0.0000 0.0000 5.1494
Sb 0.0000 2.8271 20.4664
Sb 2.4483 1.4135 12.8079
Te 0.0000 0.0000 11.6868
Te 0.0000 0.0000 17.1791
Te 0.0000 2.8271 4.0283
Te 0.0000 2.8271 9.5206
Te 2.4483 1.4135 1.8621
Te 2.4483 1.4135 19.3453
```

Output
Size of the total moment ... 0.0 μB/f.u.
DFT total energy ... -43.0 eV per cell
Space-group type ... R3m
Formation energy (no corrections) ... -48.1 kJ/mol of atoms

---

Record 2
# BaSbTe2

An optimized crystal structure of BaSbTe2 (PBE-GGA, Alexandria via LeMat-Bulk).

Cell and atoms, written as extended XYZ:
```
8
Lattice="5.4074 0.0000 0.0000 -0.1623 6.7832 0.0000 -0.8125 -2.9878 8.6218" Properties=species:S:1:pos:R:3 pbc="T T T"
Ba 0.8343 0.0545 2.4416
Ba 3.5982 3.7409 6.1802
Sb 0.8590 0.7413 6.3163
Sb 3.5735 3.0541 2.3054
Te 0.8888 3.4714 3.5703
Te 1.0489 -1.5675 7.8961
Te 3.3836 5.3629 0.7257
Te 3.5437 0.3239 5.0515
```

Output
Size of the total moment ... 0.0 μB/f.u.
DFT total energy ... -31.1 eV per cell
Space-group type ... P-1
Formation energy (no corrections) ... -77.5 kJ/mol of atoms

---

Record 3
# BaSb4Te

An optimized crystal structure of BaSb4Te (PBE-GGA, Alexandria via LeMat-Bulk).

Cell and atoms, written as extended XYZ:
```
6
Lattice="0.0000 4.5772 4.5772 4.5772 0.0000 4.5772 4.5772 4.5772 0.0000" Properties=species:S:1:pos:R:3 pbc="T T T"
Ba 0.0000 0.0000 0.0000
Sb 5.6418 3.5125 3.5125
Sb 3.5125 5.6418 3.5125
Sb 3.5125 3.5125 5.6418
Sb 5.6418 5.6418 5.6418
Te 2.2886 2.2886 2.2886
```

Output
Size of the total moment ... 0.0 μB/f.u.
DFT total energy ... -23.1 eV per cell
Space-group type ... F-43m
Formation energy (no corrections) ... -25.6 kJ/mol of atoms